First-principles (GGA-PBE) data for LaPmNd3Dy after structural relaxation, as listed in Alexandria.

Cell and atoms, written as POSCAR:
```
LaPmNd3Dy
1.0
5.8546 0.0000 0.0000
-2.9273 10.2066 1.6426
0.0000 -1.2224 6.8307
La Pm Nd Dy
2 2 6 2
direct
0.3537 0.7075 0.9746
0.6463 0.2925 0.0254
0.0559 0.1117 0.2640
0.9441 0.8883 0.7360
0.8387 0.6775 0.2591
0.7806 0.5613 0.7418
0.4815 0.9630 0.2529
0.2194 0.4387 0.2582
0.5185 0.0370 0.7471
0.1613 0.3225 0.7409
0.6447 0.2894 0.4738
0.3553 0.7106 0.5262
```

***

First-principles (GGA-PBE) data for La2PmNd6Dy3 after structural relaxation, as listed in Alexandria.

Cell and atoms, written as POSCAR:
```
La2PmNd6Dy3
1.0
6.3453 -0.0025 0.0065
-3.1733 5.4948 0.0065
-1.0731 -1.8580 11.9065
La Pm Nd Dy
2 1 6 3
direct
0.3332 0.6668 0.0000
0.6668 0.3332 0.0000
0.0000 0.0000 0.0000
0.9145 0.5817 0.7447
0.7526 0.7526 0.2552
0.0855 0.4183 0.2553
0.5817 0.9145 0.7447
0.2474 0.2474 0.7448
0.4183 0.0855 0.2553
0.1664 0.8336 0.5000
0.8336 0.1664 0.5000
0.5000 0.5000 0.5000
```

***

First-principles (GGA-PBE) data for La2PmNdDy4 after structural relaxation, as listed in Alexandria.

Cell and atoms, written as POSCAR:
```
La2PmNdDy4
1.0
3.6412 0.0000 0.0000
0.0000 6.2806 -0.2994
0.0000 2.6737 11.6034
La Pm Nd Dy
2 1 1 4
direct
0.0000 0.0000 0.0000
0.5000 0.0000 0.5000
0.0000 0.5000 0.5000
0.5000 0.5000 0.0000
0.0000 0.7494 0.7502
0.0000 0.2506 0.2498
0.5000 0.7494 0.2507
0.5000 0.2506 0.7493
```

***

First-principles (GGA-PBE) data for LaPmNd6Dy2 after structural relaxation, as listed in Alexandria.

Cell and atoms, written as POSCAR:
```
LaPmNd6Dy2
1.0
-4.9029 8.5324 0.1230
-6.3541 -4.3272 -4.6799
-0.0894 -0.9239 8.9521
La Pm Nd Dy
2 2 12 4
direct
0.2500 0.4056 0.5944
0.7500 0.5944 0.4056
0.2500 0.9697 0.0303
0.7500 0.0303 0.9697
0.0559 0.1102 0.7572
0.4441 0.2428 0.8898
0.9441 0.8898 0.2428
0.5559 0.7572 0.1102
0.3188 0.9807 0.4339
0.1812 0.5661 0.0193
0.6812 0.0193 0.5661
0.8188 0.4339 0.9807
0.1204 0.7042 0.4892
0.3796 0.5108 0.2958
0.8796 0.2958 0.5108
0.6204 0.4892 0.7042
0.4533 0.8046 0.7076
0.0467 0.2924 0.1954
0.5467 0.1954 0.2924
0.9533 0.7076 0.8046
```

***

First-principles (GGA-PBE) data for La2PrNdDy after structural relaxation, as listed in Alexandria.

Cell and atoms, written as POSCAR:
```
La2PrNdDy
1.0
-3.1274 3.3460 3.7914
-5.2971 -3.3924 -1.3756
-0.6168 -7.6372 6.2312
La Pr Nd Dy
4 2 2 2
direct
0.7500 0.7702 0.8017
0.2500 0.2298 0.1983
0.2500 0.0351 0.5980
0.7500 0.9649 0.4020
0.7500 0.5715 0.1946
0.2500 0.4285 0.8054
0.7500 0.3645 0.6006
0.2500 0.6355 0.3994
0.2500 0.8378 0.9987
0.7500 0.1622 0.0013
```

***

First-principles (GGA-PBE) data for LaPr5Nd2Dy after structural relaxation, as listed in Alexandria.

Cell and atoms, written as POSCAR:
```
LaPr5Nd2Dy
1.0
-6.2428 3.9606 5.2212
-0.1846 -7.3144 5.3278
8.9581 4.8060 -0.7796
La Pr Nd Dy
2 10 4 2
direct
0.2500 0.2500 0.5000
0.7500 0.7500 0.5000
0.9300 0.4300 0.2758
0.6542 0.1542 0.7242
0.0700 0.5700 0.7242
0.1542 0.0700 0.7242
0.5700 0.6542 0.7242
0.8458 0.9300 0.2758
0.4300 0.3458 0.2758
0.3458 0.8458 0.2758
0.5000 0.5000 0.0000
0.0000 0.0000 0.0000
0.1164 0.3836 0.0000
0.6164 0.1164 0.0000
0.3836 0.8836 0.0000
0.8836 0.6164 0.0000
0.2500 0.7500 0.5000
0.7500 0.2500 0.5000
```

***

First-principles (GGA-PBE) data for La3PrNdDy after structural relaxation, as listed in Alexandria.

Cell and atoms, written as POSCAR:
```
La3PrNdDy
1.0
5.9307 0.0000 0.0000
-2.9654 10.4000 1.6830
0.0000 -1.1946 6.7929
La Pr Nd Dy
6 2 2 2
direct
0.8402 0.6803 0.2441
0.7806 0.5611 0.7278
0.4835 0.9671 0.2478
0.2194 0.4389 0.2722
0.5165 0.0329 0.7522
0.1598 0.3197 0.7559
0.3521 0.7042 0.9748
0.6479 0.2958 0.0252
0.0588 0.1175 0.2632
0.9412 0.8825 0.7368
0.6423 0.2845 0.4810
0.3577 0.7155 0.5190
```

***

First-principles (GGA-PBE) data for La2PrNdDy2 after structural relaxation, as listed in Alexandria.

Cell and atoms, written as POSCAR:
```
La2PrNdDy2
1.0
-2.2265 2.6011 0.5488
0.0859 -1.3019 6.5191
14.2414 11.7358 2.1559
La Pr Nd Dy
4 2 2 4
direct
0.5000 0.2854 0.3099
0.0000 0.7854 0.1901
0.5000 0.7146 0.6901
0.0000 0.2146 0.8099
0.0000 0.0000 0.0000
0.5000 0.5000 0.5000
0.5000 0.5000 0.0000
0.0000 0.0000 0.5000
0.5000 0.7873 0.3549
0.5000 0.2127 0.6451
0.0000 0.7127 0.8549
0.0000 0.2873 0.1451
```

***

First-principles (GGA-PBE) data for La2Pr4NdDy after structural relaxation, as listed in Alexandria.

Cell and atoms, written as POSCAR:
```
La2Pr4NdDy
1.0
5.2306 0.0000 0.0000
0.0000 5.1036 1.0694
0.0001 2.9707 11.3447
La Pr Nd Dy
2 4 1 1
direct
0.0000 0.0000 0.0000
0.5000 0.0000 0.5000
0.0000 0.7530 0.7477
0.0000 0.2470 0.2523
0.5000 0.7483 0.2516
0.5000 0.2517 0.7484
0.5000 0.5000 0.0000
0.0000 0.5000 0.5000
```

***

First-principles (GGA-PBE) data for LaPr4Nd2Dy2 after structural relaxation, as listed in Alexandria.

Cell and atoms, written as POSCAR:
```
LaPr4Nd2Dy2
1.0
-3.6579 1.0901 3.5392
6.0594 -4.1357 3.7087
2.1687 7.9110 -0.1952
La Pr Nd Dy
1 4 2 2
direct
0.0000 0.0000 0.0000
0.7778 0.5556 0.6703
0.2222 0.4444 0.3297
0.5553 0.1107 0.3320
0.4447 0.8893 0.6680
0.8883 0.7765 0.3321
0.1117 0.2235 0.6679
0.3314 0.6628 0.0013
0.6686 0.3372 0.9987
```

***

First-principles (GGA-PBE) data for LaPr2Nd2Dy after structural relaxation, as listed in Alexandria.

Cell and atoms, written as POSCAR:
```
LaPr2Nd2Dy
1.0
-3.1751 3.4769 3.4444
-0.2247 -5.1545 4.9961
8.4498 3.6299 4.1251
La Pr Nd Dy
2 4 4 2
direct
0.0000 0.0076 0.5001
0.0000 0.5076 0.4999
0.5000 0.0077 0.9998
0.0000 0.2576 0.1697
0.5000 0.5077 0.0002
0.0000 0.7576 0.8303
0.0000 0.2578 0.8347
0.5000 0.2574 0.3313
0.0000 0.7578 0.1653
0.5000 0.7574 0.6687
0.5000 0.2576 0.6651
0.5000 0.7576 0.3349
```

***

First-principles (GGA-PBE) data for LaPrNd2Dy2 after structural relaxation, as listed in Alexandria.

Cell and atoms, written as POSCAR:
```
LaPrNd2Dy2
1.0
3.4493 0.0000 0.0000
0.0000 6.6542 0.0000
0.0000 0.0000 18.4236
La Pr Nd Dy
2 2 4 4
direct
0.0000 0.0000 0.0000
0.5000 0.5000 0.5000
0.5000 0.5000 0.0000
0.0000 0.0000 0.5000
0.5000 0.2831 0.3113
0.0000 0.7831 0.1887
0.5000 0.7169 0.6887
0.0000 0.2169 0.8113
0.5000 0.7850 0.3520
0.5000 0.2150 0.6480
0.0000 0.7150 0.8520
0.0000 0.2850 0.1480
```

***

Number 1: formation enthalpy at 0 K 0.163 eV per atom. Number 2: formation enthalpy at 0 K 0.018 eV per atom. Number 3: formation enthalpy at 0 K 0.016 eV per atom. Number 4: formation enthalpy at 0 K 0.112 eV per atom. Number 5: formation enthalpy at 0 K 0.034 eV per atom. Number 6: formation enthalpy at 0 K 0.260 eV per atom. Number 7: formation enthalpy at 0 K 0.140 eV per atom. Number 8: formation enthalpy at 0 K 0.241 eV per atom. Number 9: formation enthalpy at 0 K 0.017 eV per atom. Number 10: formation enthalpy at 0 K 0.018 eV per atom. Number 11: formation enthalpy at 0 K 0.050 eV per atom. Number 12: formation enthalpy at 0 K 0.251 eV per atom.